DFT (PBE) results for an optimized crystal structure of TaFe.

a b c (Å): 3.288 4.411 4.068
angles (deg): 90.00 90.00 90.00
Fractional coordinates of all 4 atoms:
Ta: 0.000 0.000 0.000
Ta: 0.500 0.500 0.000
Fe: 0.000 0.500 0.500
Fe: 0.500 0.000 0.500

* formation energy from the elements: 0.034 eV/atom
* VASP energy: -40.49 eV for the cell shown